# Tl2CrMoO6 | Alexandria via LeMat-Bulk | GGA+U | relaxed
data_Tl2CrMoO6
_cell_length_a 8.0008
_cell_length_b 8.0008
_cell_length_c 8.0008
_cell_angle_alpha 90.00
_cell_angle_beta 90.00
_cell_angle_gamma 90.00
_space_group_name_H-M_alt 'F m -3 m'
_space_group_IT_number 225
_space_group_name_Hall '-F 4 2 3'
loop_
_atom_site_label
_atom_site_type_symbol
_atom_site_fract_x
_atom_site_fract_y
_atom_site_fract_z
Tl1 Tl 0.2500 0.2500 0.2500
Cr1 Cr 0.0000 0.0000 0.0000
Mo1 Mo 0.0000 0.0000 0.5000
O1 O 0.0000 0.0000 0.2550
# electronic total energy: -6.160 eV per atom
# density of states at the Fermi level: 2.31 states/eV/f.u.